! Rb2MgSF6 (PBE, relaxed); values from VASP
! Crystal system: tetragonal
! Raw formation energy: -2.344 eV per atom
! Total energy: -4.233 eV per atom
! SG: No. 139
&SYSTEM
  ibrav = 0, nat = 10, ntyp = 4
/
ATOMIC_SPECIES
Rb 85.47 Rb.upf
Mg 24.30 Mg.upf
S 32.06 S.upf
F 19.00 F.upf
ATOMIC_POSITIONS crystal
Rb 0.250 0.750 0.500
Rb 0.750 0.250 0.500
Mg 0.000 0.000 0.000
S 0.500 0.500 0.000
F 0.214 0.214 0.429
F 0.214 0.786 0.000
F 0.273 0.273 0.000
F 0.727 0.727 0.000
F 0.786 0.214 0.000
F 0.786 0.786 0.571
CELL_PARAMETERS angstrom
-3.245 3.245 3.983
3.245 -3.245 3.983
3.245 3.245 -3.983

---

! RbMg2SF (PBE, relaxed); values from VASP
! Crystal system: tetragonal
! Raw formation energy: 0.064 eV per atom
! Total energy: -1.967 eV per atom
! SG: No. 123
&SYSTEM
  ibrav = 0, nat = 5, ntyp = 4
/
ATOMIC_SPECIES
Rb 85.47 Rb.upf
Mg 24.30 Mg.upf
S 32.06 S.upf
F 19.00 F.upf
ATOMIC_POSITIONS crystal
Rb 0.000 0.000 0.000
Mg 0.000 0.500 0.000
Mg 0.500 0.000 0.000
S 0.500 0.500 0.500
F 0.000 0.000 0.500
CELL_PARAMETERS angstrom
6.043 0.000 0.000
0.000 6.043 0.000
0.000 0.000 4.619